Record 1
Here is BaCuAs2 after structural relaxation from the Alexandria database. Energies are from PBE-GGA. Values from VASP.

Results
E_tot: -4.07 eV per atom

```
&SYSTEM
  ibrav = 0, nat = 4, ntyp = 3
/
ATOMIC_SPECIES
Ba 137.33 Ba.upf
Cu 63.55 Cu.upf
As 74.92 As.upf
ATOMIC_POSITIONS crystal
Ba 0.0000 0.0000 0.0000
Cu 0.0000 0.0000 0.5000
As 0.5000 0.5000 0.3256
As 0.5000 0.5000 0.6744
CELL_PARAMETERS angstrom
2.1221 -3.5219 0.0000
2.1221 3.5219 0.0000
0.0000 0.0000 7.1486
```

=====

Record 2
Here is La5Pm3Nd2 after structural relaxation from the Alexandria database. Energies are from PBE-GGA. Values from VASP.

Results
E_tot: -4.49 eV per atom
energy above the most stable polymorph in this dataset: 202 meV per atom

```
&SYSTEM
  ibrav = 0, nat = 20, ntyp = 3
/
ATOMIC_SPECIES
La 138.91 La.upf
Pm 145.00 Pm.upf
Nd 144.24 Nd.upf
ATOMIC_POSITIONS crystal
La 0.0057 0.2500 0.7557
La 0.1315 0.0943 0.2258
La 0.2500 0.2500 0.0000
La 0.3685 0.5943 0.9628
La 0.4943 0.2500 0.2443
La 0.5057 0.7500 0.7557
La 0.6315 0.4057 0.0372
La 0.7500 0.7500 0.0000
La 0.8685 0.9057 0.7742
La 0.9943 0.7500 0.2443
Pm 0.1220 0.7423 0.8643
Pm 0.2500 0.7500 0.5000
Pm 0.3780 0.2423 0.6203
Pm 0.6220 0.7577 0.3797
Pm 0.7500 0.2500 0.5000
Pm 0.8780 0.2577 0.1357
Nd 0.1227 0.3868 0.5095
Nd 0.3773 0.8868 0.2642
Nd 0.6227 0.1132 0.7358
Nd 0.8773 0.6132 0.4905
CELL_PARAMETERS angstrom
-4.9977 8.4860 4.3279
4.9977 -8.4860 4.3279
4.9977 8.4860 -4.3279
```